No. 1
# LaTm12Th5

An optimized crystal structure of LaTm12Th5 (PBE, the Alexandria database).

## Properties
- VASP energy: -5.2870 eV per atom
- N(E_F): 1.465 states/eV per atom
- Calculated formation energy: 0.03 eV/atom

Cell lengths 10.580, 10.580, 5.022 Å; angles 90.00, 90.00, 90.84 degrees
Atoms (fractional coordinates):
La: 0.000 0.000 0.000
Tm: 0.004 0.667 0.000
Tm: 0.166 0.166 0.500
Tm: 0.170 0.502 0.500
Tm: 0.333 0.996 0.000
Tm: 0.336 0.336 0.000
Tm: 0.498 0.830 0.500
Tm: 0.502 0.170 0.500
Tm: 0.664 0.664 0.000
Tm: 0.667 0.004 0.000
Tm: 0.830 0.498 0.500
Tm: 0.834 0.834 0.500
Tm: 0.996 0.333 0.000
Th: 0.169 0.831 0.500
Th: 0.334 0.666 0.000
Th: 0.500 0.500 0.500
Th: 0.666 0.334 0.000
Th: 0.831 0.169 0.500



No. 2
# La2Tm7Th

An optimized crystal structure of La2Tm7Th (PBE, the Alexandria database).

## Properties
- VASP energy: -4.6953 eV per atom
- N(E_F): 1.685 states/eV per atom
- Calculated formation energy: 0.16 eV/atom

Cell lengths 14.681, 14.681, 3.465 Å; angles 90.00, 90.00, 154.25 degrees
Atoms (fractional coordinates):
La: 0.204 0.796 0.000
La: 0.796 0.204 0.000
Tm: 0.000 0.000 0.000
Tm: 0.160 0.354 0.000
Tm: 0.315 0.685 0.500
Tm: 0.354 0.160 0.000
Tm: 0.646 0.840 0.000
Tm: 0.685 0.315 0.500
Tm: 0.840 0.646 0.000
Th: 0.500 0.500 0.500



No. 3
# La2TmTh

An optimized crystal structure of La2TmTh (PBE, the Alexandria database).

## Properties
- Relative energy among the computed polymorphs: 0.457 eV/f.u.
- VASP energy: -5.2985 eV per atom
- N(E_F): 1.651 states/eV per atom
- Calculated formation energy: 0.14 eV/atom

Cell lengths 11.826, 3.541, 13.026 Å; angles 90.00, 90.00, 90.00 degrees
Atoms (fractional coordinates):
La: 0.230 0.250 0.246
La: 0.249 0.750 0.001
La: 0.251 0.250 0.501
La: 0.270 0.750 0.746
La: 0.730 0.250 0.254
La: 0.749 0.750 0.499
La: 0.751 0.250 0.999
La: 0.770 0.750 0.754
Tm: 0.019 0.250 0.866
Tm: 0.481 0.750 0.366
Tm: 0.519 0.250 0.634
Tm: 0.981 0.750 0.134
Th: 0.020 0.750 0.614
Th: 0.480 0.250 0.114
Th: 0.520 0.750 0.886
Th: 0.980 0.250 0.386



No. 4
# La15Tm4Th

An optimized crystal structure of La15Tm4Th (PBE, the Alexandria database).

## Properties
- VASP energy: -4.9425 eV per atom
- N(E_F): 1.440 states/eV per atom
- Calculated formation energy: 0.02 eV/atom

Cell lengths 5.198, 5.198, 25.965 Å; angles 90.00, 90.00, 90.00 degrees
Atoms (fractional coordinates):
La: 0.000 0.000 0.000
La: 0.000 0.000 0.202
La: 0.000 0.000 0.401
La: 0.000 0.000 0.599
La: 0.000 0.000 0.798
La: 0.000 0.500 0.098
La: 0.000 0.500 0.300
La: 0.000 0.500 0.500
La: 0.000 0.500 0.700
La: 0.000 0.500 0.902
La: 0.500 0.000 0.098
La: 0.500 0.000 0.300
La: 0.500 0.000 0.500
La: 0.500 0.000 0.700
La: 0.500 0.000 0.902
Tm: 0.500 0.500 0.201
Tm: 0.500 0.500 0.400
Tm: 0.500 0.500 0.600
Tm: 0.500 0.500 0.799
Th: 0.500 0.500 0.000



No. 5
# La4Tm8Th

An optimized crystal structure of La4Tm8Th (PBE, the Alexandria database).

## Properties
- VASP energy: -4.3033 eV per atom
- N(E_F): 1.971 states/eV per atom
- Calculated formation energy: 0.54 eV/atom

Cell lengths 7.774, 7.774, 7.774 Å; angles 90.15, 90.15, 90.15 degrees
Atoms (fractional coordinates):
La: 0.000 0.000 0.000
La: 0.000 0.500 0.500
La: 0.500 0.000 0.500
La: 0.500 0.500 0.000
Tm: 0.241 0.241 0.241
Tm: 0.241 0.241 0.758
Tm: 0.241 0.758 0.241
Tm: 0.242 0.759 0.759
Tm: 0.758 0.241 0.241
Tm: 0.759 0.242 0.759
Tm: 0.759 0.759 0.242
Tm: 0.759 0.759 0.759
Th: 0.500 0.500 0.500



No. 6
# LaTm2Th2

An optimized crystal structure of LaTm2Th2 (PBE, the Alexandria database).

## Properties
- Relative energy among the computed polymorphs: 0.079 eV/f.u.
- VASP energy: -5.7067 eV per atom
- N(E_F): 1.336 states/eV per atom
- Calculated formation energy: 0.04 eV/atom

Cell lengths 3.572, 3.572, 14.612 Å; angles 90.00, 90.00, 120.00 degrees
Atoms (fractional coordinates):
La: 0.000 0.000 0.000
Tm: 0.333 0.667 0.798
Tm: 0.667 0.333 0.202
Th: 0.333 0.667 0.401
Th: 0.667 0.333 0.599



No. 7
# LaTm3Th2

An optimized crystal structure of LaTm3Th2 (PBE, the Alexandria database).

## Properties
- Relative energy among the computed polymorphs: 0.000 eV/f.u.
- VASP energy: -5.3713 eV per atom
- N(E_F): 1.582 states/eV per atom
- Calculated formation energy: 0.16 eV/atom

Cell lengths 11.836, 11.836, 10.185 Å; angles 108.05, 108.05, 16.74 degrees
Atoms (fractional coordinates):
La: 0.186 0.186 0.037
La: 0.814 0.814 0.963
Tm: 0.059 0.059 0.445
Tm: 0.192 0.192 0.708
Tm: 0.434 0.434 0.234
Tm: 0.566 0.566 0.766
Tm: 0.808 0.808 0.292
Tm: 0.941 0.941 0.555
Th: 0.191 0.191 0.377
Th: 0.431 0.431 0.860
Th: 0.569 0.569 0.140
Th: 0.809 0.809 0.623



No. 8
# La2Tm2Th

An optimized crystal structure of La2Tm2Th (PBE, the Alexandria database).

## Properties
- Relative energy among the computed polymorphs: 0.000 eV/f.u.
- VASP energy: -5.2238 eV per atom
- N(E_F): 1.373 states/eV per atom
- Calculated formation energy: 0.02 eV/atom

Cell lengths 14.750, 14.750, 14.750 Å; angles 14.07, 14.07, 14.07 degrees
Atoms (fractional coordinates):
La: 0.201 0.201 0.201
La: 0.799 0.799 0.799
Tm: 0.397 0.397 0.397
Tm: 0.603 0.603 0.603
Th: 0.000 0.000 0.000



No. 9
# La2Tm4Th

An optimized crystal structure of La2Tm4Th (PBE, the Alexandria database).

## Properties
- Relative energy among the computed polymorphs: 0.000 eV/f.u.
- VASP energy: -4.9874 eV per atom
- N(E_F): 1.744 states/eV per atom
- Calculated formation energy: 0.04 eV/atom

Cell lengths 3.596, 3.596, 20.348 Å; angles 95.10, 95.10, 59.89 degrees
Atoms (fractional coordinates):
La: 0.000 0.000 0.000
La: 0.090 0.090 0.289
Tm: 0.191 0.191 0.572
Tm: 0.284 0.284 0.855
Tm: 0.714 0.714 0.143
Tm: 0.813 0.813 0.437
Th: 0.909 0.909 0.714



No. 10
# La5Tm4Th2

An optimized crystal structure of La5Tm4Th2 (PBE, the Alexandria database).

## Properties
- VASP energy: -5.1082 eV per atom
- N(E_F): 1.794 states/eV per atom
- Calculated formation energy: 0.11 eV/atom

Cell lengths 8.922, 3.537, 11.851 Å; angles 90.00, 94.05, 90.00 degrees
Atoms (fractional coordinates):
La: 0.000 0.000 0.000
La: 0.078 0.000 0.292
La: 0.309 0.000 0.833
La: 0.691 0.000 0.167
La: 0.922 0.000 0.708
Tm: 0.204 0.500 0.549
Tm: 0.341 0.500 0.106
Tm: 0.659 0.500 0.894
Tm: 0.796 0.500 0.451
Th: 0.453 0.000 0.366
Th: 0.547 0.000 0.634



No. 11
# La2TmTh2

An optimized crystal structure of La2TmTh2 (PBE, the Alexandria database).

## Properties
- VASP energy: -5.8038 eV per atom
- N(E_F): 1.600 states/eV per atom
- Calculated formation energy: 0.03 eV/atom

Cell lengths 14.970, 14.970, 14.970 Å; angles 13.84, 13.84, 13.84 degrees
Atoms (fractional coordinates):
La: 0.205 0.205 0.205
La: 0.795 0.795 0.795
Tm: 0.000 0.000 0.000
Th: 0.397 0.397 0.397
Th: 0.603 0.603 0.603



No. 12
# La4TmTh

An optimized crystal structure of La4TmTh (PBE, the Alexandria database).

## Properties
- VASP energy: -5.0862 eV per atom
- N(E_F): 1.762 states/eV per atom
- Calculated formation energy: 0.18 eV/atom

Cell lengths 6.122, 6.122, 11.705 Å; angles 117.23, 117.23, 33.27 degrees
Atoms (fractional coordinates):
La: 0.153 0.153 0.341
La: 0.335 0.335 0.159
La: 0.665 0.665 0.841
La: 0.847 0.847 0.659
Tm: 0.000 0.000 0.000
Th: 0.500 0.500 0.500